The following is a GGA-PBE calculation of a relaxed Rb3SeF7 crystal, from the Alexandria database.

Cell lengths 6.115, 8.346, 8.346 Å; angles 90.00, 90.00, 90.00 degrees
Atoms (fractional coordinates):
Rb 0.500 0.191 0.691
F 0.234 0.614 0.114
F 0.766 0.614 0.114
F 0.000 0.833 0.333
Rb 0.500 0.691 0.809
F 0.234 0.114 0.386
F 0.000 0.667 0.833
Se 0.000 0.500 0.000
F 0.500 0.000 0.000
F 0.000 0.333 0.167
F 0.766 0.386 0.886
Rb 0.000 0.500 0.500
Rb 0.500 0.309 0.191
F 0.234 0.386 0.886
Rb 0.500 0.809 0.309
F 0.234 0.886 0.614
F 0.766 0.886 0.614
F 0.000 0.167 0.667
Rb 0.000 0.000 0.000
F 0.500 0.500 0.500
Se 0.000 0.000 0.500
F 0.766 0.114 0.386

Summary:
total magnetization = 0.27 Bohr magnetons per cell
final energy = -4.12 eV/atom

The following is a GGA-PBE calculation of a relaxed NaGa4Pt crystal, from the Alexandria database.

Cell lengths 6.382, 6.382, 7.438 Å; angles 64.58, 64.58, 90.01 degrees
Atoms (fractional coordinates):
Ga 0.696 0.491 0.314
Pt 0.750 0.750 0.500
Na 0.500 0.500 0.000
Pt 0.250 0.250 0.500
Ga 0.804 0.304 0.685
Ga 0.196 0.696 0.315
Ga 0.009 0.804 0.686
Na 0.000 0.000 0.000
Ga 0.991 0.196 0.314
Ga 0.510 0.010 0.685
Ga 0.490 0.990 0.315
Ga 0.304 0.509 0.686

Summary:
energy above the lowest structure with this stoichiometry = 62 meV/atom
energy of formation = -0.254 eV per atom
total magnetization = 0.00 Bohr magnetons per cell